a | # Li4As2H

A geometry-optimized Li4As2H structure (PBE-GGA, Alexandria via LeMat-Bulk).

Unit cell a=4.4178 b=4.4178 c=7.4431 alpha=72.74 beta=72.74 gamma=60.00
With the nearest neighbours (Å) after each atom.
Positions (direct):
Li: 0.7864 0.7864 0.6407  4 As 2.65-2.69, 3 Li 2.86
Li: 0.6085 0.6085 0.1744  3 As 2.61, 3 H 2.83, 3 Li 2.86
Li: 0.3915 0.3915 0.8256  3 As 2.61, 3 H 2.83, 3 Li 2.86
Li: 0.2136 0.2136 0.3593  4 As 2.65-2.69, 3 Li 2.86
As: 0.9148 0.9148 0.2556  1 H 1.79
As: 0.0852 0.0852 0.7444  1 H 1.79
H: 0.0000 0.0000 0.0000  2 As 1.79

Calculated values
N(E_F) (states/eV/f.u.): 2.1
ρ (g/cm3): 2.51

***

b | # Li4As2H

A geometry-optimized Li4As2H structure (PBE-GGA, Alexandria via LeMat-Bulk).

Unit cell a=4.4296 b=4.4296 c=6.5548 alpha=70.25 beta=70.25 gamma=90.00
With the nearest neighbours (Å) after each atom.
Positions (direct):
H: 0.0000 0.0000 0.0000  2 Li 1.83
Li: 0.0000 0.5000 0.0000  2 H 2.21
Li: 0.8407 0.8407 0.3186  1 H 1.83
As: 0.6078 0.6078 0.7844  1 As 2.48, 5 Li 2.54-2.68
As: 0.3922 0.3922 0.2156  1 As 2.48, 5 Li 2.54-2.68
Li: 0.5000 0.0000 0.0000  2 H 2.21
Li: 0.1593 0.1593 0.6814  1 H 1.83

Calculated values
N(E_F) (states/eV/f.u.): 2.6
ρ (g/cm3): 2.63

***

Computed relative energies in units of eV/atom: a 0.015; b 0.000